# Mo3O8

A relaxed structure of Mo3O8 (PBE with a Hubbard U, Alexandria).

The structure in POSCAR format:
```
Mo3O8
1.0
1.542 -5.675 -2.175
6.015 -1.622 -0.703
2.746 -6.047 8.302
Mo O
6 16
direct
0.760 0.235 0.232
0.755 0.755 0.722
0.235 0.760 0.232
0.765 0.240 0.768
0.240 0.765 0.768
0.245 0.245 0.278
0.646 0.086 0.658
0.909 0.909 0.351
0.091 0.091 0.649
0.354 0.914 0.342
0.086 0.646 0.658
0.914 0.354 0.342
0.592 0.592 0.162
0.833 0.409 0.855
0.409 0.833 0.855
0.591 0.167 0.145
0.167 0.591 0.145
0.408 0.408 0.838
0.118 0.118 0.136
0.882 0.882 0.864
0.633 0.633 0.634
0.367 0.367 0.366
```

Summary:
**Polymorph energy (0 for the lowest one)**: 0.0 meV/atom
**Total moment**: 4.00 Bohr magnetons per cell